No. 1
Computed, not measured: crystalline Cu2Ge2Rh at its relaxed geometry at the GGA-PBE level of DFT.

The structure in POSCAR format:
```
Cu2Ge2Rh
1.0
-1.471 5.981 2.041
-5.280 -0.011 -3.772
-1.874 -1.357 2.627
Ge Rh Cu
4 2 4
direct
0.354 0.854 0.000 Ge
0.854 0.646 0.000 Ge
0.646 0.146 0.000 Ge
0.146 0.354 0.000 Ge
0.000 0.000 0.000 Rh
0.500 0.500 0.000 Rh
0.149 0.649 0.500 Cu
0.649 0.851 0.500 Cu
0.851 0.351 0.500 Cu
0.351 0.149 0.500 Cu
```

Properties
**Formation energy**: -0.03 eV/atom
**Energy above the most stable polymorph in this dataset**: 0 meV per atom
**Theoretical density**: 8.5 Mg/m³
**Energy**: -4.9900 eV/atom


No. 2
Computed, not measured: crystalline Cu2GeRh2 at its relaxed geometry at the GGA-PBE level of DFT.

The structure in POSCAR format:
```
Cu2GeRh2
1.0
-4.812 -3.404 -1.805
0.856 -3.760 4.809
-2.245 2.093 2.036
Ge Rh Cu
2 4 4
direct
0.000 0.000 0.000 Ge
0.500 0.500 0.000 Ge
0.167 0.667 0.500 Rh
0.667 0.833 0.500 Rh
0.833 0.333 0.500 Rh
0.333 0.167 0.500 Rh
0.366 0.866 0.000 Cu
0.866 0.634 0.000 Cu
0.634 0.134 0.000 Cu
0.134 0.366 0.000 Cu
```

Properties
**Formation energy**: 0.12 eV/atom
**Energy above the most stable polymorph in this dataset**: 199 meV per atom
**Theoretical density**: 9.6 Mg/m³
**Energy**: -5.3789 eV/atom


No. 3
Computed, not measured: crystalline Cu3GeRh4 at its relaxed geometry at the GGA-PBE level of DFT.

The structure in POSCAR format:
```
Cu3GeRh4
1.0
4.086 0.000 -1.103
-0.293 4.080 -1.086
-0.393 -0.448 6.664
Ge Rh Cu
1 4 3
direct
0.500 0.000 0.000 Ge
0.378 0.377 0.756 Rh
0.622 0.623 0.244 Rh
0.122 0.122 0.244 Rh
0.878 0.878 0.756 Rh
0.000 0.500 0.000 Cu
0.754 0.255 0.508 Cu
0.246 0.745 0.492 Cu
```

Properties
**Formation energy**: -0.12 eV/atom
**Theoretical density**: 10.5 Mg/m³
**Energy**: -5.9133 eV/atom


No. 4
Computed, not measured: crystalline Cu2Ge2Rh at its relaxed geometry at the GGA-PBE level of DFT.

The structure in POSCAR format:
```
Cu2Ge2Rh
1.0
-0.641 3.202 0.545
-3.192 -0.724 0.494
-0.685 0.353 7.179
Ge Rh Cu
2 1 2
direct
0.399 0.399 0.202 Ge
0.601 0.601 0.798 Ge
0.000 0.000 0.000 Rh
0.750 0.250 0.500 Cu
0.250 0.750 0.500 Cu
```

Properties
**Formation energy**: 0.07 eV/atom
**Energy above the most stable polymorph in this dataset**: 102 meV per atom
**Theoretical density**: 8.3 Mg/m³
**Energy**: -4.8877 eV/atom


No. 5
Computed, not measured: crystalline Cu2Ge2Rh at its relaxed geometry at the GGA-PBE level of DFT.

The structure in POSCAR format:
```
Cu2Ge2Rh
1.0
-2.655 -5.685 -2.652
6.254 -2.626 -0.632
-0.226 -1.224 2.849
Ge Rh Cu
4 2 4
direct
0.178 0.678 0.500 Ge
0.678 0.822 0.500 Ge
0.822 0.322 0.500 Ge
0.322 0.178 0.500 Ge
0.000 0.000 0.000 Rh
0.500 0.500 0.000 Rh
0.375 0.875 0.000 Cu
0.875 0.625 0.000 Cu
0.625 0.125 0.000 Cu
0.125 0.375 0.000 Cu
```

Properties
**Formation energy**: 0.08 eV/atom
**Energy above the most stable polymorph in this dataset**: 117 meV per atom
**Theoretical density**: 8.6 Mg/m³
**Energy**: -4.8729 eV/atom


No. 6
Computed, not measured: crystalline CuGe2Rh at its relaxed geometry at the GGA-PBE level of DFT.

The structure in POSCAR format:
```
CuGe2Rh
1.0
-2.330 6.291 1.790
-2.536 0.883 -6.403
-4.773 2.500 -1.530
Ge Rh Cu
4 2 2
direct
0.629 0.125 0.250 Ge
0.121 0.625 0.250 Ge
0.375 0.371 0.750 Ge
0.875 0.879 0.750 Ge
0.000 0.000 0.000 Rh
0.750 0.250 0.500 Rh
0.500 0.500 0.000 Cu
0.250 0.750 0.500 Cu
```

Properties
**Formation energy**: 0.15 eV/atom
**Energy above the most stable polymorph in this dataset**: 275 meV per atom
**Theoretical density**: 8.0 Mg/m³
**Energy**: -5.0184 eV/atom


No. 7
Computed, not measured: crystalline CuGeRh3 at its relaxed geometry at the GGA-PBE level of DFT.

The structure in POSCAR format:
```
CuGeRh3
1.0
-0.744 -0.082 4.465
0.299 -4.517 -0.033
4.456 0.289 0.748
Ge Rh Cu
1 3 1
direct
0.000 0.000 0.000 Ge
0.000 0.500 0.000 Rh
0.000 0.000 0.500 Rh
0.500 0.000 0.000 Rh
0.500 0.500 0.500 Cu
```

Properties
**Formation energy**: 0.75 eV/atom
**Energy above the most stable polymorph in this dataset**: 0 meV per atom
**Theoretical density**: 8.0 Mg/m³
**Energy**: -5.4062 eV/atom


No. 8
Computed, not measured: crystalline CuGe2Rh at its relaxed geometry at the GGA-PBE level of DFT.

The structure in POSCAR format:
```
CuGe2Rh
1.0
-0.319 3.017 2.682
1.146 -0.576 3.841
4.496 2.195 1.122
Cu Ge Rh
1 2 1
direct
0.483 0.483 0.550 Cu
0.075 0.075 0.776 Ge
0.264 0.264 0.209 Ge
0.678 0.678 0.965 Rh
```

Properties
**Formation energy**: -0.12 eV/atom
**Energy above the most stable polymorph in this dataset**: 0 meV per atom
**Theoretical density**: 8.0 Mg/m³
**Energy**: -5.2933 eV/atom